(1)
ReNiHg2 | the Alexandria database | PBE | optimized geometry; SG = P4/mmm; formation energy from the elements = 0.784 eV/atom
1.0
4.8484 0.0000 0.0000
0.0000 4.8484 0.0000
0.0000 0.0000 2.8990
Re Ni Hg
1 1 2
direct
0.0000 0.0000 0.0000 Re
0.5000 0.5000 0.0000 Ni
0.0000 0.5000 0.5000 Hg
0.5000 0.0000 0.5000 Hg

(2)
SrSiTc2 | the Alexandria database | PBE | optimized geometry; E_form (uncorrected) = 1.8 eV per formula unit; SG = Immm
1.0
-1.4354 2.5962 4.8811
1.4354 -2.5962 4.8811
1.4354 2.5962 -4.8811
Sr Si Tc
1 1 2
direct
0.0000 0.0000 0.0000 Sr
0.5000 0.5000 0.0000 Si
0.2954 0.7954 0.5000 Tc
0.7046 0.2046 0.5000 Tc

(3)
SnTe2C | the Alexandria database | PBE | optimized geometry; E_form (uncorrected) = 4.1 eV per formula unit; SG = R-3m
1.0
1.6956 0.9789 9.5496
-1.6956 0.9789 9.5496
0.0000 -1.9579 9.5496
Sn Te C
1 2 1
direct
0.0000 0.0000 0.0000 Sn
0.1124 0.1124 0.1124 Te
0.8876 0.8876 0.8876 Te
0.5000 0.5000 0.5000 C

(4)
NbTlTeMo2 | the Alexandria database | PBE | optimized geometry; E_form (uncorrected) = 7.0 eV per formula unit; SG = P4/mmm
1.0
4.9818 0.0000 0.0000
0.0000 4.9818 0.0000
0.0000 0.0000 5.4146
Nb Tl Te Mo
1 1 1 2
direct
0.0000 0.0000 0.0000 Nb
0.5000 0.5000 0.5000 Tl
0.0000 0.0000 0.5000 Te
0.0000 0.5000 0.0000 Mo
0.5000 0.0000 0.0000 Mo

(5)
LiCaAs2Rh | the Alexandria database | PBE | optimized geometry; SG = I-4m2; formation energy from the elements = -0.808 eV/atom
1.0
-2.0591 2.0591 5.3631
2.0591 -2.0591 5.3631
2.0591 2.0591 -5.3631
Li Ca As Rh
1 1 2 1
direct
0.0000 0.0000 0.0000 Li
0.7500 0.2500 0.5000 Ca
0.1307 0.6307 0.5000 As
0.3693 0.8693 0.5000 As
0.5000 0.5000 0.0000 Rh

(6)
SbMo4Cl | the Alexandria database | PBE | optimized geometry; E_form (uncorrected) = 4.9 eV per formula unit; SG = F-43m
1.0
0.0000 3.7969 3.7969
3.7969 0.0000 3.7969
3.7969 3.7969 0.0000
Sb Mo Cl
1 4 1
direct
0.0000 0.0000 0.0000 Sb
0.3790 0.3790 0.3790 Mo
0.3790 0.3790 0.8631 Mo
0.3790 0.8631 0.3790 Mo
0.8631 0.3790 0.3790 Mo
0.7500 0.7500 0.7500 Cl

(7)
La2CePaSb4 | the Alexandria database | PBE | optimized geometry; E_form (uncorrected) = -8.0 eV per formula unit; SG = P2/m
1.0
7.8218 0.0000 0.0000
0.0000 4.5109 0.0000
-2.5977 0.0000 7.4354
La Ce Pa Sb
2 1 1 4
direct
0.0000 0.0000 0.0000 La
0.5000 0.5000 0.0000 La
0.0000 0.5000 0.5000 Ce
0.5000 0.0000 0.5000 Pa
0.2516 0.0000 0.7390 Sb
0.2589 0.5000 0.2632 Sb
0.7411 0.5000 0.7368 Sb
0.7484 0.0000 0.2610 Sb

(8)
Pm4SmIn2 | the Alexandria database | PBE | optimized geometry; SG = Pbam; formation energy from the elements = -0.167 eV/atom
1.0
6.7563 0.0000 0.0000
0.0000 11.4836 0.0000
0.0000 0.0000 5.5624
Pm Sm In
8 2 4
direct
0.0024 0.1437 0.0000 Pm
0.0034 0.7223 0.5000 Pm
0.4966 0.2223 0.5000 Pm
0.4976 0.6437 0.0000 Pm
0.5024 0.3563 0.0000 Pm
0.5034 0.7777 0.5000 Pm
0.9966 0.2777 0.5000 Pm
0.9976 0.8563 0.0000 Pm
0.0000 0.5000 0.0000 Sm
0.5000 0.0000 0.0000 Sm
0.2120 0.9993 0.5000 In
0.2880 0.4993 0.5000 In
0.7120 0.5007 0.5000 In
0.7880 0.0007 0.5000 In

(9)
PtC3O | the Alexandria database | PBE | optimized geometry; E_form (uncorrected) = 14.0 eV per formula unit; SG = Pm-3m
1.0
3.9730 0.0000 0.0000
0.0000 3.9730 0.0000
0.0000 0.0000 3.9730
Pt C O
1 3 1
direct
0.0000 0.0000 0.0000 Pt
0.0000 0.0000 0.5000 C
0.0000 0.5000 0.0000 C
0.5000 0.0000 0.0000 C
0.5000 0.5000 0.5000 O

(10)
ZnCuTcMo | the Alexandria database | PBE | optimized geometry; SG = F-43m; formation energy from the elements = 0.195 eV/atom
1.0
0.0000 3.0591 3.0591
3.0591 0.0000 3.0591
3.0591 3.0591 0.0000
Zn Cu Tc Mo
1 1 1 1
direct
0.0000 0.0000 0.0000 Zn
0.2500 0.2500 0.2500 Cu
0.7500 0.7500 0.7500 Tc
0.5000 0.5000 0.5000 Mo

Number 1: DFT total energy -3.924 eV/atom. Number 2: DFT total energy -6.500 eV/atom. Number 3: DFT total energy -3.852 eV/atom. Number 4: DFT total energy -6.051 eV/atom. Number 5: DFT total energy -4.921 eV/atom. Number 6: DFT total energy -7.397 eV/atom. Number 7: DFT total energy -6.227 eV/atom. Number 8: DFT total energy -4.338 eV/atom. Number 9: DFT total energy -4.943 eV/atom. Number 10: DFT total energy -6.447 eV/atom.